5
Lattice="-2.883 -1.785 -1.960 2.649 -1.826 -2.234 0.110 -3.119 2.679" Properties=species:S:1:pos:R:3 comment="FeSiNF2 (PBE+U, optimized geometry)" magmom_total_mub_per_cell=4.954 dos_at_fermi_per_ev_cell=0.31 final_energy_ev_per_atom=-5.052 sg="No. 123" density_g_cm3=3.577 pbc="T T T"
F -1.442 -0.892 -0.980
F 1.325 -0.913 -1.117
Fe 0.000 0.000 0.000
N 0.055 -1.560 1.339
Si -0.062 -3.365 -0.758